# SrBeWO5

Crystalline SrBeWO5 at its relaxed geometry (GGA+U, the Alexandria database).

Lattice parameters (Å, degrees): 5.578 5.578 7.398 104.78 104.78 105.42
Fractional positions:
Sr: 0.163 0.837 0.750
Sr: 0.837 0.163 0.250
Be: 0.187 0.813 0.250
Be: 0.813 0.187 0.750
W: 0.500 0.500 0.000
W: 0.500 0.500 0.500
O: 0.131 0.269 0.899
O: 0.210 0.614 0.389
O: 0.269 0.131 0.399
O: 0.386 0.790 0.111
O: 0.435 0.565 0.750
O: 0.565 0.435 0.250
O: 0.614 0.210 0.889
O: 0.731 0.869 0.601
O: 0.790 0.386 0.611
O: 0.869 0.731 0.101

Results
Total DFT energy (no corrections), eV per atom: -7.169